(1)
Compound: Na2LiErBr6
Source: the Alexandria database
Functional: PBE-GGA
Structure: optimized geometry

* symmetry: R3 (146)
* crystal system: trigonal
* E_tot: -3.5811 eV per atom

Unit cell a=7.723 b=7.723 c=7.723 alpha=56.39 beta=56.39 gamma=56.39
Element x y z (fractional)
Na 0.000 0.000 0.000
Na 0.494 0.494 0.494
Li 0.287 0.287 0.287
Er 0.800 0.800 0.800
Br 0.061 0.429 0.677
Br 0.177 0.920 0.570
Br 0.429 0.677 0.061
Br 0.570 0.177 0.920
Br 0.677 0.061 0.429
Br 0.920 0.570 0.177

=====

(2)
Compound: Np6MoN12
Source: the Alexandria database
Functional: PBE-GGA
Structure: optimized geometry

* symmetry: R-3 (148)
* crystal system: trigonal
* E_tot: -10.8643 eV per atom

Unit cell a=6.379 b=6.379 c=6.379 alpha=98.87 beta=98.87 gamma=98.87
Element x y z (fractional)
Np 0.102 0.634 0.790
Np 0.210 0.898 0.366
Np 0.366 0.210 0.898
Np 0.634 0.790 0.102
Np 0.790 0.102 0.634
Np 0.898 0.366 0.210
Mo 0.500 0.500 0.500
N 0.066 0.326 0.904
N 0.096 0.934 0.674
N 0.186 0.555 0.432
N 0.326 0.904 0.066
N 0.432 0.186 0.555
N 0.445 0.568 0.814
N 0.555 0.432 0.186
N 0.568 0.814 0.445
N 0.674 0.096 0.934
N 0.814 0.445 0.568
N 0.904 0.066 0.326
N 0.934 0.674 0.096

=====

(3)
Compound: CaHf3Au
Source: the Alexandria database
Functional: PBE-GGA
Structure: optimized geometry

* symmetry: Pm-3m (221)
* calculated formation energy: 0.569 eV/atom
* crystal system: cubic

Unit cell a=5.227 b=5.227 c=5.227 alpha=90.00 beta=90.00 gamma=90.00
Element x y z (fractional)
Ca 0.000 0.000 0.000
Hf 0.000 0.500 0.500
Hf 0.500 0.000 0.500
Hf 0.500 0.500 0.000
Au 0.500 0.500 0.500

=====

> Which formula does entry 3 have?

CaHf3Au